A relaxed BaPm2C2N6 crystal, computed with PBE.

Calculated values
* total moment: 1.452 μB per formula unit
* energy relative to the elements, uncorrected: -0.529 eV per atom
* uncorrected energy: -7.785 eV per atom

```
data_BaPm2C2N6
_cell_length_a 5.9682
_cell_length_b 5.9901
_cell_length_c 6.3469
_cell_angle_alpha 69.64
_cell_angle_beta 69.74
_cell_angle_gamma 64.39
_space_group_name_H-M_alt 'P -1'
_space_group_IT_number 2
loop_
_space_group_symop_operation_xyz
'x,y,z'
'-x,-y,-z'
loop_
_atom_site_label
_atom_site_fract_x
_atom_site_fract_y
_atom_site_fract_z
Ba1 0.0000 0.0000 0.0000
Pm1 0.3275 0.3276 0.3125
C1 0.3303 0.3281 0.7611
N1 0.1018 0.4581 0.7025
N2 0.4198 0.4173 0.8701
N3 0.4610 0.1010 0.7017
```